Entry 1:
CrC4 | SCAN | single point on PBEsol structure

abc: 6.0138 6.0138 2.5342
angles: 90.00 90.00 90.00
With the nearest neighbours (Å) after each atom.
Space group I4/mmm (No. 139)
Symmetry-distinct sites (fractional):
Cr1 0.0000 0.0000 0.0000 [2 per cell]  12 C 2.26-2.38
C1 0.2203 0.2203 0.5000 [8 per cell]  2 C 1.36

Output
Formation enthalpy at 0 K in eV/atom: 0.88



Entry 2:
CrC3 | SCAN | single point on PBEsol structure

abc: 4.1272 4.1272 4.3046
angles: 90.00 90.00 120.00
With the nearest neighbours (Å) after each atom.
Space group P6_3/mmc (No. 194)
Symmetry-distinct sites (fractional):
Cr1 0.3333 0.6667 0.2500 [2 per cell]  12 C 2.09-2.32
C1 0.2139 0.4279 0.7500 [6 per cell]  2 C 1.48

Output
Formation enthalpy at 0 K in eV/atom: 1.60



- Which of these has the lowest formation enthalpy at 0 K?
  CrC4



- What is the formation enthalpy at 0 K in the first record?
  0.88 eV/atom



- What is the formula in the second record?
  CrC3